[1]
First-principles (GGA-PBE) data for a relaxed Ho2ThNi crystal, as listed in Alexandria.

Unit cell a=3.4851 b=3.4851 c=31.4067 alpha=90.00 beta=90.00 gamma=120.00
Positions (direct):
Ho (0.0000, 0.0000, 0.1098)
Ho (0.0000, 0.0000, 0.8902)
Ho (0.3333, 0.6667, 0.5569)
Ho (0.3333, 0.6667, 0.7764)
Ho (0.6667, 0.3333, 0.2236)
Ho (0.6667, 0.3333, 0.4431)
Th (0.0000, 0.0000, 0.0000)
Th (0.3333, 0.6667, 0.6667)
Th (0.6667, 0.3333, 0.3333)
Ni (0.0000, 0.0000, 0.5000)
Ni (0.3333, 0.6667, 0.1667)
Ni (0.6667, 0.3333, 0.8333)

Values from the calculation:
- Energy of formation from the pure elements: 0.09 eV/atom
- DOS(E_F): 3.21 states/eV/f.u.
- Space-group type: R-3m

***

[2]
First-principles (GGA-PBE) data for a relaxed Pu2TiTl2S6 crystal, as listed in Alexandria.

Unit cell a=6.6810 b=6.6810 c=7.8641 alpha=98.42 beta=98.42 gamma=119.54
Positions (direct):
Pu (0.1664, 0.8336, 0.0000)
Pu (0.8336, 0.1664, 0.0000)
Ti (0.5000, 0.5000, 0.0000)
Tl (0.3292, 0.6708, 0.5000)
Tl (0.6708, 0.3292, 0.5000)
S (0.1257, 0.4347, 0.8112)
S (0.2601, 0.2601, 0.1908)
S (0.4347, 0.1257, 0.8112)
S (0.5653, 0.8743, 0.1888)
S (0.7399, 0.7399, 0.8092)
S (0.8743, 0.5653, 0.1888)

Values from the calculation:
- DOS(E_F): 18.51 states/eV/f.u.
- Space-group type: C2/m
- Total energy: -79.4 eV/cell